Entry from the Alexandria database: a relaxed structure of InAg6F12 (PBE).

Energy relative to the elements, uncorrected in meV per atom: -1401

abc: 10.4885 10.4885 9.4985
angles: 90.00 90.00 120.00
Space group R-3 (No. 148, hexagonal axes)
One atom of each set of equivalent atoms:
In 0.0000 0.0000 0.0000 x3
Ag 0.0461 0.7926 0.6503 x18
F 0.0129 0.7787 0.4050 x18
F 0.0411 0.8556 0.8794 x18